Record 1
# PuThNi2Ge2 (PBE-GGA, optimized geometry)
# energy of formation from the pure elements: -59 kJ/mol of atoms
data_PuThNi2Ge2
_cell_length_a 4.1816
_cell_length_b 4.1816
_cell_length_c 7.7369
_cell_angle_alpha 90.00
_cell_angle_beta 90.00
_cell_angle_gamma 120.00
_symmetry_space_group_name_H-M 'P -3 m 1'
_symmetry_Int_Tables_number 164
_symmetry_space_group_name_Hall '-P 3 2"'
loop_
_atom_site_label
_atom_site_type_symbol
_atom_site_fract_x
_atom_site_fract_y
_atom_site_fract_z
Pu1 Pu 0.0000 0.0000 0.0000
Th1 Th 0.0000 0.0000 0.5000
Ni1 Ni 0.3333 0.6667 0.7532
Ge1 Ge 0.3333 0.6667 0.2395

Record 2
Compound: CuHO2F
Source: the Alexandria database
Functional: PBE-GGA
Structure: optimized geometry

```
data_CuHO2F
_cell_length_a 2.9374
_cell_length_b 2.9374
_cell_length_c 4.9814
_cell_angle_alpha 90.00
_cell_angle_beta 90.00
_cell_angle_gamma 90.00
_symmetry_space_group_name_H-M 'P 4/m m m'
_symmetry_Int_Tables_number 123
_symmetry_space_group_name_Hall '-P 4 2'
loop_
_atom_site_label
_atom_site_type_symbol
_atom_site_fract_x
_atom_site_fract_y
_atom_site_fract_z
Cu1 Cu 0.0000 0.0000 0.0000
H1 H 0.5000 0.5000 0.5000
O1 O 0.0000 0.5000 0.5000
F1 F 0.5000 0.5000 0.0000
```

Record 3
Compound: Hf2MoHOs
Source: the Alexandria database
Functional: PBE-GGA
Structure: optimized geometry

```
data_Hf2MoHOs
_cell_length_a 4.6211
_cell_length_b 4.6211
_cell_length_c 3.4469
_cell_angle_alpha 90.00
_cell_angle_beta 90.00
_cell_angle_gamma 90.00
_symmetry_space_group_name_H-M 'P 4/m m m'
_symmetry_Int_Tables_number 123
_symmetry_space_group_name_Hall '-P 4 2'
loop_
_atom_site_label
_atom_site_type_symbol
_atom_site_fract_x
_atom_site_fract_y
_atom_site_fract_z
Hf1 Hf 0.0000 0.5000 0.0000
Mo1 Mo 0.0000 0.0000 0.5000
H1 H 0.0000 0.0000 0.0000
Os1 Os 0.5000 0.5000 0.5000
```

Record 4
# PrInRuRh (PBE-GGA, optimized geometry)
# energy of formation from the pure elements: -27 kJ/mol of atoms
data_PrInRuRh
_cell_length_a 6.7787
_cell_length_b 6.7787
_cell_length_c 6.7787
_cell_angle_alpha 90.00
_cell_angle_beta 90.00
_cell_angle_gamma 90.00
_symmetry_space_group_name_H-M 'F -4 3 m'
_symmetry_Int_Tables_number 216
_symmetry_space_group_name_Hall 'F -4 2 3'
loop_
_atom_site_label
_atom_site_type_symbol
_atom_site_fract_x
_atom_site_fract_y
_atom_site_fract_z
Pr1 Pr 0.0000 0.0000 0.0000
In1 In 0.0000 0.0000 0.5000
Ru1 Ru 0.2500 0.2500 0.2500
Rh1 Rh 0.2500 0.2500 0.7500

Record 5
# Y5Ga2Pb (PBE-GGA, optimized geometry)
# energy of formation from the pure elements: -54 kJ/mol of atoms
data_Y5Ga2Pb
_cell_length_a 7.9133
_cell_length_b 7.9133
_cell_length_c 13.8876
_cell_angle_alpha 90.00
_cell_angle_beta 90.00
_cell_angle_gamma 90.00
_symmetry_space_group_name_H-M 'I 4/m c m'
_symmetry_Int_Tables_number 140
_symmetry_space_group_name_Hall '-I 4 2c'
loop_
_atom_site_label
_atom_site_type_symbol
_atom_site_fract_x
_atom_site_fract_y
_atom_site_fract_z
Y1 Y 0.0000 0.0000 0.0000
Y2 Y 0.1608 0.3392 0.1424
Ga1 Ga 0.1328 0.3672 0.5000
Pb1 Pb 0.0000 0.0000 0.2500

Record 6
# HoTiSi2Ru (PBE-GGA, optimized geometry)
# E_form (uncorrected): -0.84 eV per atom
data_HoTiSi2Ru
_cell_length_a 3.9810
_cell_length_b 3.9810
_cell_length_c 10.8167
_cell_angle_alpha 90.00
_cell_angle_beta 90.00
_cell_angle_gamma 90.00
_symmetry_space_group_name_H-M 'I -4 m 2'
_symmetry_Int_Tables_number 119
_symmetry_space_group_name_Hall 'I -4 -2'
loop_
_atom_site_label
_atom_site_type_symbol
_atom_site_fract_x
_atom_site_fract_y
_atom_site_fract_z
Ho1 Ho 0.0000 0.0000 0.0000
Ti1 Ti 0.0000 0.5000 0.7500
Si1 Si 0.0000 0.0000 0.3896
Ru1 Ru 0.0000 0.5000 0.2500

no.,energy (eV/atom)
1,-7.71
2,-3.66
3,-9.40
4,-6.31
5,-5.82
6,-7.36